Entry 1:
Computed, not measured: an optimized crystal structure of HfCo3H at the PBE-GGA level of DFT.

The total magnetization is 2.81 μB per formula unit. As for the electronic total energy: -0.5179 Ry/atom. Its energy above the most stable polymorph in this dataset is 3.39 kcal/mol of atoms.

abc: 6.134 4.055 9.079
angles: 90.00 98.39 90.00
Space group P2_1/c (No. 14)
One atom of each set of equivalent atoms:
Hf 0.151 0.018 0.160 [4 per cell]
Co 0.154 0.030 0.448 [4 per cell]
Co 0.314 0.542 0.373 [4 per cell]
Co 0.469 0.549 0.145 [4 per cell]
H 0.399 0.247 0.512 [4 per cell]

=====

Entry 2:
Computed, not measured: an optimized crystal structure of HfCo3H at the PBE-GGA level of DFT.

The total magnetization is 2.01 μB per formula unit. As for the electronic total energy: -0.5126 Ry/atom. Its energy above the most stable polymorph in this dataset is 5.04 kcal/mol of atoms.

abc: 11.858 3.621 6.006
angles: 90.00 117.77 90.00
Space group C2/m (No. 12)
One atom of each set of equivalent atoms:
Hf 0.141 0.000 0.267 [4 per cell]
Co 0.060 0.500 0.891 [4 per cell]
Co 0.102 0.500 0.530 [4 per cell]
Co 0.195 0.000 0.819 [4 per cell]
H 0.204 0.500 0.854 [4 per cell]

=====

Entry 3:
Computed, not measured: an optimized crystal structure of HfCoH3 at the PBE-GGA level of DFT.

The total magnetization is 1.85 μB per formula unit. As for the electronic total energy: -0.3752 Ry/atom.

abc: 3.657 3.657 3.657
angles: 90.00 90.00 90.00
Space group Pm-3m (No. 221)
One atom of each set of equivalent atoms:
Hf 0.000 0.000 0.000 [1 per cell]
Co 0.500 0.500 0.500 [1 per cell]
H 0.000 0.000 0.500 [3 per cell]

=====

Entry 4:
Computed, not measured: an optimized crystal structure of Hf6Co2H at the PBE-GGA level of DFT.

The total magnetization is 0.00 μB per formula unit. As for the electronic total energy: -0.6497 Ry/atom.

abc: 5.689 6.112 10.604
angles: 90.00 121.90 90.00
Space group P2_1/c (No. 14)
One atom of each set of equivalent atoms:
Hf 0.085 0.037 0.253 [4 per cell]
Hf 0.214 0.685 0.060 [4 per cell]
Hf 0.411 0.193 0.061 [4 per cell]
Co 0.344 0.116 0.753 [4 per cell]
H 0.000 0.000 0.000 [2 per cell]

=====

Entry 5:
Computed, not measured: an optimized crystal structure of HfCoH3 at the PBE-GGA level of DFT.

The total magnetization is 0.00 μB per formula unit. As for the electronic total energy: -0.4179 Ry/atom.

abc: 3.339 3.339 3.339
angles: 90.00 90.00 90.00
Space group Pm-3m (No. 221)
One atom of each set of equivalent atoms:
Hf 0.000 0.000 0.000 [1 per cell]
Co 0.500 0.500 0.500 [1 per cell]
H 0.000 0.500 0.500 [3 per cell]

=====

Entry 6:
Computed, not measured: an optimized crystal structure of HfCoH3 at the PBE-GGA level of DFT.

The total magnetization is 0.00 μB per formula unit. As for the electronic total energy: -0.4197 Ry/atom.

abc: 7.526 3.704 5.508
angles: 90.00 90.00 90.00
Space group Pnma (No. 62)
One atom of each set of equivalent atoms:
Hf 0.174 0.250 0.115 [4 per cell]
Co 0.053 0.250 0.645 [4 per cell]
H 0.050 0.750 0.657 [4 per cell]
H 0.149 0.750 0.286 [4 per cell]
H 0.232 0.250 0.484 [4 per cell]

=====

Entry 7:
Computed, not measured: an optimized crystal structure of Hf12Co6H at the PBE-GGA level of DFT.

The total magnetization is 0.00 μB per formula unit. As for the electronic total energy: -0.6433 Ry/atom.

abc: 11.0536 11.0536 10.1467
angles: 90.00 90.00 120.00
Space group R-3 (No. 148, hexagonal axes)
One atom of each set of equivalent atoms:
Hf 0.0259 0.8108 0.3908 [18 per cell]
Hf 0.0401 0.8443 0.8838 [18 per cell]
Co 0.0485 0.7796 0.6490 [18 per cell]
H 0.0000 0.0000 0.0000 [3 per cell]

=====

Entry 8:
Computed, not measured: an optimized crystal structure of Hf4Co2H at the PBE-GGA level of DFT.

The total magnetization is 0.00 μB per formula unit. As for the electronic total energy: -0.6180 Ry/atom.

abc: 12.641 3.457 5.435
angles: 90.00 105.07 90.00
Space group C2/m (No. 12)
One atom of each set of equivalent atoms:
Hf 0.087 0.000 0.246 [4 per cell]
Hf 0.148 0.500 0.805 [4 per cell]
Co 0.232 0.500 0.326 [4 per cell]
H 0.000 0.000 0.500 [2 per cell]

=====

Entry 9:
Computed, not measured: an optimized crystal structure of HfCo3H at the PBE-GGA level of DFT.

The total magnetization is 2.30 μB per formula unit. As for the electronic total energy: -0.4723 Ry/atom. Its energy above the most stable polymorph in this dataset is 17.67 kcal/mol of atoms.

abc: 3.483 3.483 5.911
angles: 90.00 90.00 90.00
Space group P4mm (No. 99)
One atom of each set of equivalent atoms:
Hf 0.000 0.000 0.000 [1 per cell]
Co 0.000 0.000 0.580 [1 per cell]
Co 0.000 0.500 0.312 [2 per cell]
H 0.500 0.500 0.359 [1 per cell]

=====

Entry 10:
Computed, not measured: an optimized crystal structure of HfCoH4 at the PBE-GGA level of DFT.

The total magnetization is 0.00 μB per formula unit. As for the electronic total energy: -0.3862 Ry/atom.

abc: 4.940 7.823 5.211
angles: 90.00 112.77 90.00
Space group C2/c (No. 15)
One atom of each set of equivalent atoms:
Hf 0.000 0.123 0.250 [4 per cell]
Co 0.000 0.469 0.250 [4 per cell]
H 0.031 0.365 0.549 [8 per cell]
H 0.156 0.099 0.665 [8 per cell]

=====

Entry 11:
Computed, not measured: an optimized crystal structure of HfCo3H at the PBE-GGA level of DFT.

The total magnetization is 0.00 μB per formula unit. As for the electronic total energy: -0.5286 Ry/atom. Its energy above the most stable polymorph in this dataset is 0.00 kcal/mol of atoms.

abc: 3.729 3.729 3.729
angles: 90.00 90.00 90.00
Space group Pm-3m (No. 221)
One atom of each set of equivalent atoms:
Hf 0.000 0.000 0.000 [1 per cell]
Co 0.000 0.500 0.500 [3 per cell]
H 0.500 0.500 0.500 [1 per cell]

=====

Entry 12:
Computed, not measured: an optimized crystal structure of HfCo3H at the PBE-GGA level of DFT.

The total magnetization is 3.03 μB per formula unit. As for the electronic total energy: -0.4590 Ry/atom. Its energy above the most stable polymorph in this dataset is 21.85 kcal/mol of atoms.

abc: 4.6052 4.6052 13.2375
angles: 90.00 90.00 120.00
Space group R3m (No. 160, hexagonal axes)
One atom of each set of equivalent atoms:
Hf 0.0000 0.0000 0.0000 [3 per cell]
Co 0.1682 0.3364 0.8348 [9 per cell]
H 0.0000 0.0000 0.7502 [3 per cell]

=====

Entry 13:
Computed, not measured: an optimized crystal structure of HfCo3H at the PBE-GGA level of DFT.

The total magnetization is 1.53 μB per formula unit. As for the electronic total energy: -0.5051 Ry/atom. Its energy above the most stable polymorph in this dataset is 7.40 kcal/mol of atoms.

abc: 9.713 9.713 9.713
angles: 90.00 90.00 90.00
Space group Fd-3m (No. 227, origin choice 2)
One atom of each set of equivalent atoms:
Hf 0.000 0.000 0.000 [16 per cell]
Co 0.058 0.375 0.875 [48 per cell]
H 0.000 0.000 0.500 [16 per cell]

=====

Entry 14:
Computed, not measured: an optimized crystal structure of HfCo2H8 at the PBE-GGA level of DFT.

The total magnetization is 0.00 μB per formula unit. As for the electronic total energy: -0.3448 Ry/atom.

abc: 4.066 4.066 4.193
angles: 90.00 90.00 90.00
Space group P4/mmm (No. 123)
One atom of each set of equivalent atoms:
Hf 0.000 0.000 0.000 [1 per cell]
Co 0.000 0.500 0.500 [2 per cell]
H 0.283 0.283 0.289 [8 per cell]

=====

Entry 15:
Computed, not measured: an optimized crystal structure of HfCo3H at the PBE-GGA level of DFT.

The total magnetization is 2.08 μB per formula unit. As for the electronic total energy: -0.5243 Ry/atom. Its energy above the most stable polymorph in this dataset is 1.36 kcal/mol of atoms.

abc: 4.251 5.212 4.840
angles: 90.00 91.01 90.00
Space group P2_1/m (No. 11)
One atom of each set of equivalent atoms:
Hf 0.242 0.250 0.371 [2 per cell]
Co 0.245 0.004 0.853 [4 per cell]
Co 0.245 0.750 0.299 [2 per cell]
H 0.480 0.750 0.004 [2 per cell]

=====

Entry 16:
Computed, not measured: an optimized crystal structure of HfCo3H at the PBE-GGA level of DFT.

The total magnetization is 1.95 μB per formula unit. As for the electronic total energy: -0.5104 Ry/atom. Its energy above the most stable polymorph in this dataset is 5.74 kcal/mol of atoms.

abc: 13.169 3.575 5.067
angles: 90.00 101.39 90.00
Space group C2/m (No. 12)
One atom of each set of equivalent atoms:
Hf 0.082 0.000 0.291 [4 per cell]
Co 0.114 0.000 0.803 [4 per cell]
Co 0.197 0.500 0.093 [4 per cell]
Co 0.206 0.500 0.610 [4 per cell]
H 0.098 0.500 0.789 [4 per cell]

=====

Entry 17:
Computed, not measured: an optimized crystal structure of Hf3CoH4 at the PBE-GGA level of DFT.

The total magnetization is 0.00 μB per formula unit. As for the electronic total energy: -0.4783 Ry/atom.

abc: 5.905 5.631 5.225
angles: 90.00 90.00 90.00
Space group Pmn2_1 (No. 31)
One atom of each set of equivalent atoms:
Hf 0.000 0.133 0.000 [2 per cell]
Hf 0.249 0.364 0.508 [4 per cell]
Co 0.000 0.857 0.499 [2 per cell]
H 0.000 0.125 0.609 [2 per cell]
H 0.000 0.820 0.182 [2 per cell]
H 0.213 0.708 0.628 [4 per cell]

=====

Entry 18:
Computed, not measured: an optimized crystal structure of HfCo3H at the PBE-GGA level of DFT.

The total magnetization is 2.75 μB per formula unit. As for the electronic total energy: -0.5044 Ry/atom. Its energy above the most stable polymorph in this dataset is 7.61 kcal/mol of atoms.

abc: 5.369 8.843 4.910
angles: 90.00 90.00 90.00
Space group Cmcm (No. 63)
One atom of each set of equivalent atoms:
Hf 0.000 0.096 0.250 [4 per cell]
Co 0.000 0.500 0.000 [4 per cell]
Co 0.205 0.182 0.750 [8 per cell]
H 0.000 0.364 0.250 [4 per cell]

=====

Entry 19:
Computed, not measured: an optimized crystal structure of HfCo3H at the PBE-GGA level of DFT.

The total magnetization is 2.24 μB per formula unit. As for the electronic total energy: -0.3589 Ry/atom. Its energy above the most stable polymorph in this dataset is 53.27 kcal/mol of atoms.

abc: 4.595 4.595 4.595
angles: 90.00 90.00 90.00
Space group Pm-3m (No. 221)
One atom of each set of equivalent atoms:
Hf 0.000 0.000 0.000 [1 per cell]
Co 0.000 0.000 0.500 [3 per cell]
H 0.500 0.500 0.500 [1 per cell]

=====

Entry 20:
Computed, not measured: an optimized crystal structure of Hf3Co2H7 at the PBE-GGA level of DFT.

The total magnetization is 1.29 μB per formula unit. As for the electronic total energy: -0.4220 Ry/atom.

abc: 3.025 23.141 3.057
angles: 90.00 90.00 90.00
Space group Cmmm (No. 65)
One atom of each set of equivalent atoms:
Hf 0.000 0.000 0.000 [2 per cell]
Hf 0.000 0.310 0.500 [4 per cell]
Co 0.000 0.111 0.000 [4 per cell]
H 0.000 0.075 0.500 [4 per cell]
H 0.000 0.182 0.000 [4 per cell]
H 0.000 0.426 0.000 [4 per cell]
H 0.000 0.500 0.500 [2 per cell]

=====

Entry 21:
Computed, not measured: an optimized crystal structure of HfCo3H at the PBE-GGA level of DFT.

The total magnetization is 2.61 μB per formula unit. As for the electronic total energy: -0.5051 Ry/atom. Its energy above the most stable polymorph in this dataset is 7.40 kcal/mol of atoms.

abc: 4.666 4.666 10.801
angles: 90.00 90.00 90.00
Space group I-4m2 (No. 119)
One atom of each set of equivalent atoms:
Hf 0.000 0.000 0.197 [4 per cell]
Co 0.000 0.266 0.411 [8 per cell]
Co 0.000 0.500 0.616 [4 per cell]
H 0.000 0.000 0.500 [2 per cell]
H 0.000 0.500 0.250 [2 per cell]